## HgMoPb (PBE)

Data for crystalline HgMoPb at its relaxed geometry.

Structure (POSCAR):
```
HgMoPb
1.0
4.0078 0.0000 0.0000
0.0000 4.6211 0.0000
0.0000 0.0000 7.2852
Mo Hg Pb
2 2 2
Cartesian
2.0039 2.3105 3.0140
0.0000 0.0000 3.0140
0.0000 2.3105 5.0772
2.0039 0.0000 5.0772
0.0000 2.3105 0.8322
2.0039 0.0000 0.8322
```

Output
- energy of formation (eV per atom) = 0.62
- Fermi-level density of states (states/eV/atom) = 0.666
- ΔE to the lowest computed polymorph (meV/atom) = 227

---

## HgMoPb2 (PBE)

Data for crystalline HgMoPb2 at its relaxed geometry.

Structure (POSCAR):
```
HgMoPb2
1.0
3.1047 0.0000 0.0000
0.0000 3.1047 0.0000
0.0000 0.0000 10.9500
Pb Hg Mo
2 1 1
Cartesian
0.0000 0.0000 10.4087
0.0000 0.0000 6.0163
1.5524 1.5524 2.7375
1.5524 1.5524 8.2125
```

Output
- energy of formation (eV per atom) = 0.46
- Fermi-level density of states (states/eV/atom) = 0.571

---

## HgMoPb (PBE)

Data for crystalline HgMoPb at its relaxed geometry.

Structure (POSCAR):
```
HgMoPb
1.0
-4.0711 1.4795 1.9781
-4.0368 -2.4027 -0.7793
-1.9899 -2.5169 3.5187
Hg Mo Pb
1 1 1
Cartesian
-5.0489 -1.7201 2.3588
-7.5734 -2.5801 3.5381
0.0000 0.0000 0.0000
```

Output
- energy of formation (eV per atom) = 0.84
- Fermi-level density of states (states/eV/atom) = 0.384
- ΔE to the lowest computed polymorph (meV/atom) = 449

---

## HgMoPb2 (PBE)

Data for crystalline HgMoPb2 at its relaxed geometry.

Structure (POSCAR):
```
HgMoPb2
1.0
-2.3805 -5.2955 1.1716
-1.6282 -3.0782 -4.7912
4.6541 2.5736 2.6073
Hg Mo Pb
1 1 2
Cartesian
0.1346 -3.4544 0.9846
0.5107 -2.3457 -1.9968
-0.0892 -0.1863 -0.0805
-1.9152 -4.0005 -1.7292
```

Output
- energy of formation (eV per atom) = 0.67
- Fermi-level density of states (states/eV/atom) = 0.697

---

## Hg3MoPb (PBE)

Data for crystalline Hg3MoPb at its relaxed geometry.

Structure (POSCAR):
```
Hg3MoPb
1.0
-2.1131 -3.2804 -3.5693
0.3175 -3.9790 3.4690
-4.8374 1.1718 1.7869
Hg Mo Pb
3 1 1
Cartesian
-1.0566 -1.6402 -1.7847
-2.4187 0.5859 0.8935
0.1588 -1.9895 1.7345
0.0000 0.0000 0.0000
-3.3165 -3.0438 0.8433
```

Output
- energy of formation (eV per atom) = 0.77
- Fermi-level density of states (states/eV/atom) = 0.483
- ΔE to the lowest computed polymorph (meV/atom) = 0

---

## HgMoPb2 (PBE)

Data for crystalline HgMoPb2 at its relaxed geometry.

Structure (POSCAR):
```
HgMoPb2
1.0
5.6018 0.0001 0.0000
1.9030 5.2687 0.0000
-3.7524 -2.6344 3.2186
Mo Hg Pb
1 1 2
Cartesian
2.8009 0.0001 1.6093
0.9515 2.6343 1.6093
0.0000 0.0000 0.0000
3.7524 2.6344 0.0000
```

Output
- energy of formation (eV per atom) = 0.69
- Fermi-level density of states (states/eV/atom) = 0.721

---

## HgMoPb2 (PBE)

Data for crystalline HgMoPb2 at its relaxed geometry.

Structure (POSCAR):
```
HgMoPb2
1.0
-3.2941 2.7085 1.4462
-2.9227 -3.4160 -0.2595
-0.9511 -2.9410 10.3530
Mo Pb Hg
2 4 2
Cartesian
-3.4911 -3.3553 5.3434
-3.1084 -0.3537 0.5933
-3.0764 -2.5082 8.2069
-2.5121 -2.5022 2.6226
-6.1211 -2.7875 8.8059
-2.6260 0.5011 3.4439
0.0000 0.0000 0.0000
-3.6768 -0.2931 6.1962
```

Output
- energy of formation (eV per atom) = 0.84
- Fermi-level density of states (states/eV/atom) = 0.671

---

## HgMoPb (PBE)

Data for crystalline HgMoPb at its relaxed geometry.

Structure (POSCAR):
```
HgMoPb
1.0
3.3580 -0.0013 0.0048
-1.6772 5.1156 -0.0072
-1.6600 -1.3133 8.2391
Hg Mo Pb
2 2 2
Cartesian
1.1365 4.6058 0.0267
-0.5531 -0.4766 3.2618
-0.5232 -0.5295 6.2270
1.1556 1.0055 7.2111
-0.5239 2.1866 4.9792
1.1355 1.8532 1.5346
```

Output
- energy of formation (eV per atom) = 0.39
- Fermi-level density of states (states/eV/atom) = 0.571
- ΔE to the lowest computed polymorph (meV/atom) = 0

---

## Hg4MoPb (PBE)

Data for crystalline Hg4MoPb at its relaxed geometry.

Structure (POSCAR):
```
Hg4MoPb
1.0
2.6035 -0.5030 5.2884
2.2604 4.7814 2.6510
-2.6210 2.2313 4.8115
Pb Hg Mo
1 4 1
Cartesian
0.0000 0.0000 0.0000
0.8421 2.4441 4.7874
2.1391 2.1935 7.4220
-0.4636 3.5557 7.1844
1.9682 4.8261 6.1080
1.6822 4.8822 9.5631
```

Output
- energy of formation (eV per atom) = 0.65
- Fermi-level density of states (states/eV/atom) = 0.351

---

## HgMoPb2 (PBE)

Data for crystalline HgMoPb2 at its relaxed geometry.

Structure (POSCAR):
```
HgMoPb2
1.0
4.8647 0.0000 0.0000
0.0000 3.4923 -0.0024
0.0000 1.7464 5.5865
Hg Pb Mo
1 2 1
Cartesian
0.0000 3.2754 2.6571
0.0000 5.0199 5.1982
2.4324 1.5274 1.7712
2.4324 3.2739 4.3336
```

Output
- energy of formation (eV per atom) = 0.55
- Fermi-level density of states (states/eV/atom) = 0.618

---

## HgMoPb (PBE)

Data for crystalline HgMoPb at its relaxed geometry.

Structure (POSCAR):
```
HgMoPb
1.0
7.9314 -0.0018 0.0015
7.2582 2.9630 0.0775
0.6732 -0.4081 2.9375
Hg Mo Pb
1 1 1
Cartesian
14.8122 2.8736 0.1533
5.5824 0.7314 1.9708
10.6579 1.9094 0.9714
```

Output
- energy of formation (eV per atom) = 0.70
- Fermi-level density of states (states/eV/atom) = 0.886
- ΔE to the lowest computed polymorph (meV/atom) = 303

---

## HgMoPb (PBE)

Data for crystalline HgMoPb at its relaxed geometry.

Structure (POSCAR):
```
HgMoPb
1.0
-2.7747 -1.0911 1.0651
2.5612 -0.1060 1.8581
-1.6850 6.9389 2.7185
Hg Mo Pb
1 1 1
Cartesian
-0.0478 0.1968 0.0771
-1.5470 1.5059 2.2182
-0.3038 4.0392 3.3464
```

Output
- energy of formation (eV per atom) = 0.70
- Fermi-level density of states (states/eV/atom) = 1.196
- ΔE to the lowest computed polymorph (meV/atom) = 311

---

## HgMoPb2 (PBE)

Data for crystalline HgMoPb2 at its relaxed geometry.

Structure (POSCAR):
```
HgMoPb2
1.0
-1.7699 0.0209 -2.5708
-1.9966 -0.4807 2.3504
-1.3991 10.9580 1.0525
Hg Pb Mo
1 2 1
Cartesian
-2.2331 2.5096 0.1530
-0.7630 5.9759 0.5740
-1.3357 10.4611 1.0048
-2.9326 7.9886 0.6792
```

Output
- energy of formation (eV per atom) = 0.44
- Fermi-level density of states (states/eV/atom) = 0.542

---

## HgMoPb4 (PBE)

Data for crystalline HgMoPb4 at its relaxed geometry.

Structure (POSCAR):
```
HgMoPb4
1.0
0.0000 4.5215 4.5215
4.5215 0.0000 4.5215
4.5215 4.5215 0.0000
Pb Hg Mo
4 1 1
Cartesian
3.3858 5.6571 5.6571
3.3858 3.3858 3.3858
5.6571 5.6571 3.3858
5.6571 3.3858 5.6571
6.7822 6.7822 6.7822
0.0000 0.0000 0.0000
```

Output
- energy of formation (eV per atom) = 0.78
- Fermi-level density of states (states/eV/atom) = 0.589

---

## HgMoPb2 (PBE)

Data for crystalline HgMoPb2 at its relaxed geometry.

Structure (POSCAR):
```
HgMoPb2
1.0
11.3845 -0.0074 -0.0043
10.9261 3.1980 -0.0043
10.9261 1.5625 2.7903
Pb Mo Hg
2 1 1
Cartesian
16.1935 2.3158 1.3552
0.4249 0.0608 0.0356
24.9276 3.5648 2.0862
8.3092 1.1883 0.6954
```

Output
- energy of formation (eV per atom) = 0.48
- Fermi-level density of states (states/eV/atom) = 1.012

---

## HgMoPb2 (PBE)

Data for crystalline HgMoPb2 at its relaxed geometry.

Structure (POSCAR):
```
HgMoPb2
1.0
-1.8658 2.0746 -1.4123
0.9266 -2.0610 -2.1618
-8.3987 -6.0666 2.1839
Pb Mo Hg
2 1 1
Cartesian
-2.8274 -1.6963 -1.1740
-8.0074 -5.7840 2.0822
-6.6515 -4.4586 -0.1796
-4.4496 -3.2141 1.1570
```

Output
- energy of formation (eV per atom) = 0.53
- Fermi-level density of states (states/eV/atom) = 0.561

---

## HgMoPb2 (PBE)

Data for crystalline HgMoPb2 at its relaxed geometry.

Structure (POSCAR):
```
HgMoPb2
1.0
-3.9282 3.3242 1.4928
-0.2629 -2.4670 4.8018
2.2637 2.1283 1.2174
Mo Pb Hg
1 2 1
Cartesian
1.0004 -0.1694 3.0096
0.0000 0.0000 0.0000
-2.0956 0.4286 3.1473
-0.8323 2.7263 1.3551
```

Output
- energy of formation (eV per atom) = 0.66
- Fermi-level density of states (states/eV/atom) = 0.729

---

## HgMoPb (PBE)

Data for crystalline HgMoPb at its relaxed geometry.

Structure (POSCAR):
```
HgMoPb
1.0
3.2645 -0.0245 -0.0015
-1.6528 5.3471 0.0270
-0.0089 -1.3045 8.2907
Mo Pb Hg
2 2 2
Cartesian
1.9957 1.7096 5.7739
0.3613 2.1729 7.5043
-1.2555 3.9938 1.8091
0.4144 4.1634 5.2520
1.9635 -0.2873 8.2225
0.3637 1.4045 3.2049
```

Output
- energy of formation (eV per atom) = 0.42
- Fermi-level density of states (states/eV/atom) = 0.511
- ΔE to the lowest computed polymorph (meV/atom) = 26

---

## HgMoPb2 (PBE)

Data for crystalline HgMoPb2 at its relaxed geometry.

Structure (POSCAR):
```
HgMoPb2
1.0
5.2358 0.0000 0.0000
2.6179 4.5343 0.0000
2.6179 1.5114 4.2750
Hg Pb Mo
1 2 1
Cartesian
5.2358 3.0229 2.1375
0.0000 0.0000 0.0000
2.6179 1.5114 1.0688
7.8537 4.5343 3.2063
```

Output
- energy of formation (eV per atom) = 0.80
- Fermi-level density of states (states/eV/atom) = 0.804

---

## HgMoPb (PBE)

Data for crystalline HgMoPb at its relaxed geometry.

Structure (POSCAR):
```
HgMoPb
1.0
-6.9014 -2.2511 2.7789
-3.9728 -3.6686 5.5836
5.2781 4.8001 -3.0853
Hg Pb Mo
1 1 1
Cartesian
-10.5933 -5.7668 8.1465
-7.4655 -4.0641 5.7412
-3.6896 -2.0085 2.8374
```

Output
- energy of formation (eV per atom) = 0.70
- Fermi-level density of states (states/eV/atom) = 1.031
- ΔE to the lowest computed polymorph (meV/atom) = 304

---

## TaHgMo2Pb (PBE)

Data for crystalline TaHgMo2Pb at its relaxed geometry.

Structure (POSCAR):
```
TaHgMo2Pb
1.0
-2.8184 -3.7345 1.2922
-0.0110 -1.7671 -5.1309
3.9517 -2.6674 0.9102
Mo Ta Pb Hg
2 1 1 1
Cartesian
1.9759 -1.3337 0.4551
-1.4092 -1.8672 0.6461
0.0000 0.0000 0.0000
0.5611 -4.0845 -1.4642
-0.0055 -0.8836 -2.5654
```

Output
- energy of formation (eV per atom) = 1.50
- Fermi-level density of states (states/eV/atom) = 1.365

---

## TaHg2MoPb (PBE)

Data for crystalline TaHg2MoPb at its relaxed geometry.

Structure (POSCAR):
```
TaHg2MoPb
1.0
-2.3751 -3.3623 -3.6040
-2.7101 -2.4617 4.0827
-4.1210 3.5493 -0.5955
Pb Ta Mo Hg
1 1 1 2
Cartesian
0.0000 0.0000 0.0000
-1.3551 -1.2308 2.0414
-4.6031 -1.1374 -0.0584
-2.0605 1.7747 -0.2977
-1.1876 -1.6812 -1.8020
```

Output
- energy of formation (eV per atom) = 2.05
- Fermi-level density of states (states/eV/atom) = 0.854

---

## Hg2MoPd9 (PBE)

Data for crystalline Hg2MoPd9 at its relaxed geometry.

Structure (POSCAR):
```
Hg2MoPd9
1.0
3.9837 0.0000 0.0000
0.0000 3.9837 0.0000
0.0000 0.0000 12.2513
Pd Mo Hg
9 1 2
Cartesian
0.0000 1.9918 6.1256
1.9918 1.9918 3.9867
1.9918 0.0000 6.1256
1.9918 0.0000 10.3758
1.9918 1.9918 0.0000
1.9918 0.0000 1.8755
1.9918 1.9918 8.2646
0.0000 1.9918 10.3758
0.0000 1.9918 1.8755
0.0000 0.0000 0.0000
0.0000 0.0000 4.0585
0.0000 0.0000 8.1928
```

Output
- energy of formation (eV per atom) = -0.12
- Fermi-level density of states (states/eV/atom) = 0.818

---

## HgMo2Pd2 (PBE)

Data for crystalline HgMo2Pd2 at its relaxed geometry.

Structure (POSCAR):
```
HgMo2Pd2
1.0
3.9262 0.0000 0.0000
0.0000 3.9262 0.0000
1.9631 1.9631 5.9178
Mo Pd Hg
2 2 1
Cartesian
3.9262 3.9262 4.8052
1.9631 1.9631 1.1126
3.9262 1.9631 2.9589
1.9631 3.9262 2.9589
0.0000 0.0000 0.0000
```

Output
- energy of formation (eV per atom) = 0.46
- Fermi-level density of states (states/eV/atom) = 0.748
- ΔE to the lowest computed polymorph (meV/atom) = 149

---

## HgMoPd6 (PBE)

Data for crystalline HgMoPd6 at its relaxed geometry.

Structure (POSCAR):
```
HgMoPd6
1.0
-1.6037 3.2347 1.6849
-3.4296 -1.9638 0.5059
2.5049 -2.5161 7.2146
Pd Hg Mo
6 1 1
Cartesian
-0.1360 0.9485 2.7602
-1.2642 -0.6226 4.7027
-1.0489 -1.6507 2.1707
0.1243 -2.8292 5.5498
-2.5166 0.6355 1.0954
1.0372 -0.2299 6.1393
0.0000 0.0000 0.0000
1.2524 -1.2581 3.6073
```

Output
- energy of formation (eV per atom) = -0.13
- Fermi-level density of states (states/eV/atom) = 0.441

---

## HgMo2Pd (PBE)

Data for crystalline HgMo2Pd at its relaxed geometry.

Structure (POSCAR):
```
HgMo2Pd
1.0
-2.3264 0.1757 2.9401
-2.6436 -1.7766 -1.9857
1.0323 -9.7421 3.7946
Hg Mo Pd
2 4 2
Cartesian
-1.8896 -5.1835 3.6060
0.0000 0.0000 0.0000
-1.0965 -7.9116 3.1986
-3.5676 -8.7027 3.6864
-1.5202 -2.5483 2.5302
-1.6911 -3.5235 0.0829
-2.0481 -6.1596 1.1431
-2.4850 -0.8004 0.4772
```

Output
- energy of formation (eV per atom) = 0.64
- Fermi-level density of states (states/eV/atom) = 0.752

---

## HgMoPd2 (PBE)

Data for crystalline HgMoPd2 at its relaxed geometry.

Structure (POSCAR):
```
HgMoPd2
1.0
-2.6336 0.0758 1.2082
-2.3315 -0.7303 -1.5595
-0.6824 -9.0311 2.5558
Pd Mo Hg
2 1 1
Cartesian
-1.3976 -2.5509 0.5904
-4.2499 -7.1348 1.6141
-2.8237 -4.8428 1.1022
0.0000 0.0000 0.0000
```

Output
- energy of formation (eV per atom) = 0.05
- Fermi-level density of states (states/eV/atom) = 1.021

---

## HgMoPd2 (PBE)

Data for crystalline HgMoPd2 at its relaxed geometry.

Structure (POSCAR):
```
HgMoPd2
1.0
7.2881 0.0000 0.0000
0.0000 7.2881 0.0000
3.6441 3.6441 2.8135
Hg Mo Pd
2 2 4
Cartesian
7.2881 3.6441 1.4067
0.0000 0.0000 0.0000
3.6441 3.6441 0.0000
3.6441 7.2881 1.4067
5.4661 5.6562 2.1101
5.2760 1.8220 0.7034
9.1102 8.9200 2.1101
2.0122 5.4661 0.7034
```

Output
- energy of formation (eV per atom) = 0.58
- Fermi-level density of states (states/eV/atom) = 1.371